Here is a relaxed BaMgW2 crystal from the Alexandria database. Energies are from GGA-PBE.

```
data_BaMgW2
_chemical_formula_sum 'Ba2 Mg2 W4'
_cell_length_a 4.027
_cell_length_b 4.059
_cell_length_c 10.413
_cell_angle_alpha 90.00
_cell_angle_beta 90.00
_cell_angle_gamma 90.00
_space_group_name_H-M_alt 'C m m m'
_space_group_IT_number 65
_space_group_name_Hall '-C 2 2'
loop_
_atom_site_label
_atom_site_type_symbol
_atom_site_fract_x
_atom_site_fract_y
_atom_site_fract_z
_atom_site_occupancy
Ba1 Ba 0.000 0.000 0.000 1
Mg1 Mg 0.000 0.000 0.500 1
W1 W 0.000 0.500 0.287 1
```

- ρ (g cm⁻³) = 10.3
- total magnetization (μB per formula unit) = 0.0
- energy relative to the elements (meV per atom) = 1159
- calculated total energy (eV/atom) = -6.197